Here is CrCd2Si at its PBEsol-relaxed geometry from the Alexandria database. Energies are from meta-GGA SCAN.

Properties
* VASP energy: -21.926 eV per atom
* formation energy without anion corrections: 0.38 eV per atom
* D(E_F): 1.7 states/eV per cell

Cell: 2.9463 2.9463 8.3661 Å, 90.00 90.00 90.00°
Closest atoms and distances in Å follow each position.
Space group P4/mmm (No. 123)
Unique sites:
Cr1 0.0000 0.0000 0.0000 (multiplicity 1)  8 Cd 2.88, 4 Cr 2.95
Cd1 0.5000 0.5000 0.2385 (multiplicity 2)  4 Cr 2.88, 4 Cd 2.95, 4 Si 3.02
Si1 0.0000 0.0000 0.5000 (multiplicity 1)  4 Si 2.95, 8 Cd 3.02

Here is CrCdSi2 at its PBEsol-relaxed geometry from the Alexandria database. Energies are from meta-GGA SCAN.

Properties
* VASP energy: -16.950 eV per atom
* formation energy without anion corrections: 0.26 eV per atom
* D(E_F): 4.4 states/eV per cell

Cell: 2.8837 2.8837 24.8491 Å, 90.00 90.00 120.00°
Closest atoms and distances in Å follow each position.
Space group R-3m (No. 166, hexagonal axes)
Unique sites:
Cr1 0.0000 0.0000 0.0000 (multiplicity 3)  6 Si 2.39
Cd1 0.0000 0.0000 0.5000 (multiplicity 3)  6 Cd 2.88, 6 Si 2.95
Si1 0.0000 0.0000 0.2646 (multiplicity 6)  3 Cr 2.39

Here is Cr2CdSi at its PBEsol-relaxed geometry from the Alexandria database. Energies are from meta-GGA SCAN.

Properties
* VASP energy: -19.104 eV per atom
* formation energy without anion corrections: 0.20 eV per atom
* D(E_F): 3.7 states/eV per cell

Cell: 3.8535 3.8535 7.6111 Å, 90.00 90.00 90.00°
Closest atoms and distances in Å follow each position.
Space group I-4m2 (No. 119)
Unique sites:
Cr1 0.0000 0.0000 0.0000 (multiplicity 2)  4 Cr 2.71, 4 Cd 2.71, 4 Si 2.72
Cr2 0.0000 0.5000 0.2500 (multiplicity 2)  4 Cr 2.71, 4 Si 2.71, 4 Cd 2.72
Cd1 0.0000 0.5000 0.7500 (multiplicity 2)  8 Cr 2.71-2.72, 4 Si 2.71
Si1 0.0000 0.0000 0.5000 (multiplicity 2)  8 Cr 2.71-2.72, 4 Cd 2.71

Here is TaCrCd2Si at its PBEsol-relaxed geometry from the Alexandria database. Energies are from meta-GGA SCAN.

Properties
* VASP energy: -29.579 eV per atom
* formation energy without anion corrections: 1.58 eV per atom
* D(E_F): 2.9 states/eV per cell

Cell: 5.3049 5.3049 4.4130 Å, 90.00 90.00 90.00°
Closest atoms and distances in Å follow each position.
Space group P4/mmm (No. 123)
Unique sites:
Ta1 0.0000 0.0000 0.0000 (multiplicity 1)  2 Cr 2.21
Cr1 0.0000 0.0000 0.5000 (multiplicity 1)  2 Ta 2.21
Cd1 0.0000 0.5000 0.0000 (multiplicity 2)  2 Ta 2.65
Si1 0.5000 0.5000 0.5000 (multiplicity 1)  8 Cd 3.45, 4 Cr 3.75